[1]
Below is an optimized crystal structure of LaTlTc2, with properties calculated at the GGA-PBE level.

Cell and atoms, written as extended XYZ:
```
4
Lattice="3.211 -4.636 0.000 3.211 4.636 0.000 -1.376 0.000 2.707" Properties=species:S:1:pos:R:3 pbc="T T T"
La 0.000 0.000 0.000
Tl 3.211 0.000 0.000
Tc 0.918 2.318 1.353
Tc 0.918 -2.318 1.353
```

Values from the calculation:
ΔH_f (0 K), eV per atom: 0.61
Space group: C2/m, No. 12
Mass density, Mg/m³: 11.11
Energy above the lowest structure with this stoichiometry, kJ/mol of formula units: 194.8
Uncorrected energy, eV per cell: -25.585

=====

[2]
Below is an optimized crystal structure of Gd3YTc, with properties calculated at the GGA-PBE level.

Cell and atoms, written as extended XYZ:
```
5
Lattice="5.399 0.000 0.000 0.000 5.399 0.000 0.000 0.000 5.399" Properties=species:S:1:pos:R:3 pbc="T T T"
Gd 0.000 0.000 2.700
Gd 0.000 2.700 0.000
Gd 2.700 0.000 0.000
Y 2.700 2.700 2.700
Tc 0.000 0.000 0.000
```

Values from the calculation:
ΔH_f (0 K), eV per atom: 0.12
Space group: Pm-3m, No. 221
Mass density, Mg/m³: 6.95
Uncorrected energy, eV per cell: -58.482

=====

[3]
Below is an optimized crystal structure of Tl2AgRu, with properties calculated at the GGA-PBE level.

Cell and atoms, written as extended XYZ:
```
4
Lattice="0.000 3.412 3.412 3.412 0.000 3.412 3.412 3.412 0.000" Properties=species:S:1:pos:R:3 pbc="T T T"
Tl 1.706 1.706 1.706
Tl 5.118 5.118 5.118
Ag 0.000 0.000 0.000
Ru 3.412 3.412 3.412
```

Values from the calculation:
ΔH_f (0 K), eV per atom: 0.52
Space group: Fm-3m, No. 225
Mass density, Mg/m³: 12.91
Energy above the lowest structure with this stoichiometry, kJ/mol of formula units: 53.4
Uncorrected energy, eV per cell: -14.776

=====

[4]
Below is an optimized crystal structure of CaZn2Au5, with properties calculated at the GGA-PBE level.

Cell and atoms, written as extended XYZ:
```
8
Lattice="-1.986 3.647 5.520 1.986 -3.647 5.520 1.986 3.647 -5.520" Properties=species:S:1:pos:R:3 pbc="T T T"
Ca 0.000 0.000 0.000
Zn 1.986 0.000 2.859
Zn 0.000 3.647 2.661
Au 1.986 2.116 -1.480
Au 1.986 2.116 1.480
Au 0.000 3.647 0.000
Au 0.000 1.531 4.040
Au 0.000 1.531 7.001
```

Values from the calculation:
ΔH_f (0 K), eV per atom: -0.33
Space group: Immm, No. 71
Mass density, Mg/m³: 12.00
Uncorrected energy, eV per cell: -23.570